TiNiTeI2: optimized geometry, PBE.

It has space group P4/mmm (No. 123), with a = 5.525 Å, b = 5.525 Å, c = 5.338 Å, α = 90.00°, β = 90.00° and γ = 90.00°. Symmetry generates all atoms from Ti at (0.000, 0.000, 0.000), Ni at (0.500, 0.500, 0.500), Te at (0.000, 0.000, 0.500) and I at (0.000, 0.500, 0.000).

The calculation puts the energy relative to the lowest polymorph listed for this composition at 0 meV/atom. For the total energy, the calculation gives -3.517 eV/atom.